# SrLaIn2Pd4

A relaxed structure of SrLaIn2Pd4 (PBE, the Open Quantum Materials Database).

Results
For the density, the calculation gives 8.1 g/cm3.

a b c (Å): 4.6777 4.6777 9.5598
angles (deg): 90.00 90.00 120.00
Space group P-6m2 (No. 187)
Unique sites:
Sr: 0.0000 0.0000 0.0000
La: 0.3333 0.6667 0.5000
In: 0.6667 0.3333 0.2530
Pd: 0.0000 0.0000 0.3339
Pd: 0.3333 0.6667 0.1894

# LaTbIn2Pd4

A relaxed structure of LaTbIn2Pd4 (PBE, the Open Quantum Materials Database).

Results
For the density, the calculation gives 9.3 g/cm3.

a b c (Å): 4.6491 4.6491 9.0956
angles (deg): 90.00 90.00 120.00
Space group P-6m2 (No. 187)
Unique sites:
La: 0.0000 0.0000 0.0000
Tb: 0.3333 0.6667 0.5000
In: 0.6667 0.3333 0.2599
Pd: 0.0000 0.0000 0.3403
Pd: 0.3333 0.6667 0.1736

# LaTbIn2Pd4

A relaxed structure of LaTbIn2Pd4 (PBE, the Open Quantum Materials Database).

Results
For the density, the calculation gives 9.3 g/cm3.

a b c (Å): 4.6491 4.6491 9.0955
angles (deg): 90.00 90.00 120.00
Space group P-6m2 (No. 187)
Unique sites:
La: 0.0000 0.0000 0.0000
Tb: 0.6667 0.3333 0.5000
In: 0.3333 0.6667 0.2599
Pd: 0.0000 0.0000 0.3403
Pd: 0.6667 0.3333 0.1736

# LaYIn4Pd2

A relaxed structure of LaYIn4Pd2 (PBE, the Open Quantum Materials Database).

Results
For the density, the calculation gives 8.0 g/cm3.

a b c (Å): 7.624 4.569 10.664
angles (deg): 90.00 90.00 90.00
Space group Amm2 (No. 38)
Unique sites:
La: 0.000 0.000 0.000
Y: 0.500 0.000 0.850
In: 0.205 0.000 0.289
In: 0.304 0.000 0.565
Pd: 0.000 0.000 0.716
Pd: 0.500 0.000 0.134

# LaPmIn

A relaxed structure of LaPmIn (PBE, the Open Quantum Materials Database).

Results
For the density, the calculation gives 6.1 g/cm3. The calculation puts the excess energy over the best structure of this formula in the dataset at 0.0 meV per atom.

a b c (Å): 7.578 7.578 7.578
angles (deg): 90.00 90.00 90.00
Space group F-43m (No. 216)
Unique sites:
La: 0.000 0.000 0.000
Pm: 0.000 0.000 0.500
In: 0.250 0.250 0.250

# LaPmIn2

A relaxed structure of LaPmIn2 (PBE, the Open Quantum Materials Database).

Results
For the density, the calculation gives 7.2 g/cm3.

a b c (Å): 3.891 3.891 7.800
angles (deg): 90.00 90.00 90.00
Space group P4/mmm (No. 123)
Unique sites:
La: 0.000 0.000 0.000
Pm: 0.000 0.000 0.500
In: 0.500 0.500 0.262

# LaPrIn2

A relaxed structure of LaPrIn2 (PBE, the Open Quantum Materials Database).

Results
For the density, the calculation gives 7.2 g/cm3. The calculation puts the excess energy over the best structure of this formula in the dataset at 34.8 meV per atom.

a b c (Å): 6.047 8.121 9.612
angles (deg): 90.00 90.00 90.00
Space group Ama2 (No. 40)
Unique sites:
La: 0.250 0.169 0.000
Pr: 0.250 0.165 0.371
In: 0.000 0.000 0.684
In: 0.250 0.329 0.684

# La3PrIn4

A relaxed structure of La3PrIn4 (PBE, the Open Quantum Materials Database).

Results
For the density, the calculation gives 7.1 g/cm3.

a b c (Å): 6.294 6.060 6.305
angles (deg): 90.00 99.50 90.00
Space group Pm (No. 6)
Unique sites:
La: 0.000 0.000 0.000
La: 0.291 0.500 0.032
La: 0.659 0.500 0.663
Pr: 0.625 0.000 0.368
In: 0.144 0.250 0.515
In: 0.476 0.000 0.844
In: 0.814 0.500 0.188

Number 1: energy -4.823 eV per atom. Number 2: energy -5.278 eV per atom. Number 3: energy -5.278 eV per atom. Number 4: energy -4.749 eV per atom. Number 5: energy -4.267 eV per atom. Number 6: energy -4.295 eV per atom. Number 7: energy -4.265 eV per atom. Number 8: energy -4.294 eV per atom.